DFT (PBE) results for a relaxed structure of ZnSiAs2.

Cell lengths 9.4128, 9.4128, 9.4128 Å; angles 19.92, 19.92, 19.92 degrees
Closest atoms and distances in Å follow each position.
Atoms (fractional coordinates):
As 0.0260 0.0260 0.0260  3 Zn 2.63
As 0.2189 0.2189 0.2189  3 Si 2.44
Si 0.4961 0.4961 0.4961  3 As 2.44, 3 Zn 2.71
Zn 0.7590 0.7590 0.7590  3 As 2.63, 3 Si 2.71

## Properties
**Theoretical density**: 4771 kg/m3
**Calculated total energy**: -3.76 eV/atom
**Formation energy (no corrections)**: 0.97 eV/f.u.
**DOS(E_F)**: 0.37 states/eV/atom